An optimized crystal structure of NaOsRh3. Source: Alexandria, functional GGA-PBE.

The calculation puts the formation enthalpy at 0 K at 0.963 eV/atom. The magnetization is 0.0 μB/f.u. The value obtained for the calculated volume is 107.41 Å³/cell.

The structure belongs to space group Pm-3m (No. 221); the cell edges are 4.754, 4.754 and 4.754 Å and the angles 90.00°, 90.00° and 90.00°. Symmetry generates all atoms from Na at (0.000, 0.000, 0.000), Os at (0.500, 0.500, 0.500) and Rh at (0.000, 0.500, 0.500).